# 1
Density functional theory data (PBE) for a relaxed YMn2Si crystal.

Output
- VASP energy: -7.39 eV/atom
- E_form (uncorrected): 0.17 eV/atom
- Calculated volume: 18.9 Å³/atom

Unit cell a=4.234 b=4.234 c=16.872 alpha=90.00 beta=90.00 gamma=90.00
Space group I-42d (No. 122)
Symmetry-distinct sites (fractional):
Y1 0.000 0.000 0.000 x4
Mn1 0.067 0.750 0.625 x8
Si1 0.000 0.000 0.500 x4



# 2
Density functional theory data (PBE) for a relaxed VAg3Te crystal.

Output
- VASP energy: -3.09 eV/atom
- E_form (uncorrected): 1.08 eV/atom
- Calculated volume: 25.5 Å³/atom
- E above lowest polymorph: 22.8 meV/atom

Unit cell a=5.036 b=5.036 c=5.036 alpha=90.00 beta=90.00 gamma=90.00
Space group Pm-3m (No. 221)
Symmetry-distinct sites (fractional):
V1 0.000 0.000 0.000 x1
Ag1 0.000 0.000 0.500 x3
Te1 0.500 0.500 0.500 x1



# 3
Density functional theory data (PBE) for a relaxed Li2CeSn2 crystal.

Output
- VASP energy: -4.01 eV/atom
- Formation energy: -2.30 eV per formula unit
- Calculated volume: 22.5 Å³/atom
- E above lowest polymorph: 17.9 meV/atom

Unit cell a=4.498 b=4.498 c=11.109 alpha=90.00 beta=90.02 gamma=90.00
Space group P2_1/m (No. 11)
Symmetry-distinct sites (fractional):
Li1 0.249 0.250 0.133 x2
Li2 0.250 0.750 0.500 x2
Ce1 0.250 0.250 0.750 x2
Sn1 0.250 0.250 0.361 x2
Sn2 0.251 0.750 0.000 x2



# 4
Density functional theory data (PBE) for a relaxed Sm6VSn10 crystal.

Output
- VASP energy: -5.05 eV/atom
- Formation energy: -8.45 eV per formula unit
- Calculated volume: 27.1 Å³/atom

Unit cell a=9.2601 b=9.2601 c=6.1966 alpha=90.00 beta=90.00 gamma=120.00
Space group P-31m (No. 162)
Symmetry-distinct sites (fractional):
Sm1 0.0000 0.3893 0.2548 x6
V1 0.0000 0.0000 0.5000 x1
Sn1 0.0000 0.2246 0.7837 x6
Sn2 0.3333 0.6667 0.0000 x2
Sn3 0.3333 0.6667 0.5000 x2



# 5
Density functional theory data (PBE) for a relaxed ZnTe2Au2 crystal.

Output
- VASP energy: -2.70 eV/atom
- E_form (uncorrected): 0.13 eV/atom
- Calculated volume: 24.6 Å³/atom
- E above lowest polymorph: 37.9 meV/atom

Unit cell a=7.791 b=7.791 c=4.050 alpha=90.00 beta=90.00 gamma=90.00
Space group P4/mbm (No. 127)
Symmetry-distinct sites (fractional):
Zn1 0.000 0.000 0.000 x2
Te1 0.196 0.304 0.000 x4
Au1 0.124 0.624 0.500 x4



# 6
Density functional theory data (PBE) for a relaxed CaSc2Ta crystal.

Output
- VASP energy: -5.31 eV/atom
- Formation energy: 5.29 eV per formula unit
- Calculated volume: 33.2 Å³/atom
- E above lowest polymorph: 1105.7 meV/atom

Unit cell a=5.209 b=5.209 c=19.606 alpha=90.00 beta=90.00 gamma=90.00
Space group I4_1/amd (No. 141, origin choice 2)
Symmetry-distinct sites (fractional):
Ca1 0.000 0.250 0.375 x4
Sc1 0.000 0.000 0.000 x8
Ta1 0.000 0.250 0.875 x4